Density functional theory data (PBE+U) for AcCdMo2O8 after structural relaxation.

a b c (Å): 5.425 5.425 11.809
angles (deg): 90.00 90.00 90.00
Space group I-4 (No. 82)
Unique sites:
Ac 0.000 0.000 0.000 [2 per cell]
Cd 0.000 0.500 0.750 [2 per cell]
Mo 0.000 0.000 0.500 [2 per cell]
Mo 0.000 0.500 0.250 [2 per cell]
O 0.148 0.238 0.583 [8 per cell]
O 0.167 0.748 0.169 [8 per cell]

Calculated values
E: -6.863 eV per atom
Size of the total moment: 1.0 μB/f.u.